Here is a relaxed Th2OsI crystal from Alexandria. Energies are from PBE.

Values from the calculation:
E above lowest polymorph ... 0.000 eV/atom
Formation energy (no corrections) ... -0.693 eV per atom
Space group ... R-3m
Electronic total energy ... -7.60 eV/atom

abc: 4.2311 4.2311 24.6037
angles: 90.00 90.00 120.00
Closest atoms and distances in Å follow each position.
Element x y z (fractional)
Th 0.0000 0.0000 0.2253  3 Os 2.84
Th 0.0000 0.0000 0.7747  3 Os 2.84
Th 0.3333 0.6667 0.4413  3 Os 2.84
Th 0.3333 0.6667 0.8920  3 Os 2.84
Th 0.6667 0.3333 0.1080  3 Os 2.84
Th 0.6667 0.3333 0.5587  3 Os 2.84
Os 0.0000 0.0000 0.5000  6 Th 2.84
Os 0.3333 0.6667 0.1667  6 Th 2.84
Os 0.6667 0.3333 0.8333  6 Th 2.84
I 0.0000 0.0000 0.0000  6 Th 3.61
I 0.3333 0.6667 0.6667  6 Th 3.61
I 0.6667 0.3333 0.3333  6 Th 3.61

***

Here is a relaxed AcLa4Ce3N8 crystal from Alexandria. Energies are from PBE.

Values from the calculation:
Formation energy (no corrections) ... -1.341 eV per atom
Space group ... R-3m
Electronic total energy ... -8.11 eV/atom

abc: 7.3889 7.3889 7.3889
angles: 60.00 60.00 60.00
Closest atoms and distances in Å follow each position.
Element x y z (fractional)
Ac 0.0000 0.0000 0.0000  6 N 2.65
La 0.0000 0.0000 0.5000  6 N 2.68-2.72
La 0.0000 0.5000 0.0000  6 N 2.68-2.72
La 0.5000 0.0000 0.0000  6 N 2.68-2.72
La 0.5000 0.5000 0.5000  6 N 2.58
Ce 0.0000 0.5000 0.5000  6 N 2.51-2.55
Ce 0.5000 0.0000 0.5000  6 N 2.51-2.55
Ce 0.5000 0.5000 0.0000  6 N 2.51-2.55
N 0.2536 0.2536 0.7271  2 Ce 2.51, 3 La 2.58-2.72, 1 Ac 2.65
N 0.2536 0.7271 0.2536  2 Ce 2.51, 3 La 2.58-2.72, 1 Ac 2.65
N 0.2566 0.2566 0.2566  3 Ce 2.55, 3 La 2.68
N 0.2729 0.7464 0.7464  2 Ce 2.51, 3 La 2.58-2.72, 1 Ac 2.65
N 0.7271 0.2536 0.2536  2 Ce 2.51, 3 La 2.58-2.72, 1 Ac 2.65
N 0.7434 0.7434 0.7434  3 Ce 2.55, 3 La 2.68
N 0.7464 0.2729 0.7464  2 Ce 2.51, 3 La 2.58-2.72, 1 Ac 2.65
N 0.7464 0.7464 0.2729  2 Ce 2.51, 3 La 2.58-2.72, 1 Ac 2.65

***

Here is a relaxed PrNd7Dy4 crystal from Alexandria. Energies are from PBE.

Values from the calculation:
E above lowest polymorph ... 0.198 eV/atom
Space group ... C2/m
Electronic total energy ... -4.51 eV/atom
Energy relative to the elements ... 2.4 eV per formula unit

abc: 8.6586 8.6586 9.5082
angles: 114.88 114.88 40.90
Closest atoms and distances in Å follow each position.
Element x y z (fractional)
Pr 0.0000 0.0000 0.0000  4 Nd 3.03-3.18
Nd 0.0863 0.0863 0.4519  3 Nd 3.31-3.68, 3 Dy 3.50-3.55
Nd 0.2136 0.2136 0.2398  1 Pr 3.18, 4 Dy 3.23-3.51, 2 Nd 3.39-3.47
Nd 0.2148 0.2148 0.8846  6 Nd 3.39-3.68, 3 Dy 3.75-3.77
Nd 0.5000 0.5000 0.0000  2 Pr 3.03
Nd 0.7852 0.7852 0.1154  6 Nd 3.39-3.68, 3 Dy 3.75-3.77
Nd 0.7864 0.7864 0.7602  1 Pr 3.18, 4 Dy 3.23-3.51, 2 Nd 3.39-3.47
Nd 0.9137 0.9137 0.5481  3 Nd 3.31-3.68, 3 Dy 3.50-3.55
Dy 0.3305 0.3305 0.6186  7 Nd 3.23-3.55
Dy 0.4292 0.4292 0.3018  2 Nd 3.28-3.54, 2 Dy 3.42-3.62
Dy 0.5708 0.5708 0.6982  2 Nd 3.28-3.54, 2 Dy 3.42-3.62
Dy 0.6695 0.6695 0.3814  7 Nd 3.23-3.55

***

Here is a relaxed Rb4PaSb3O12 crystal from Alexandria. Energies are from PBE.

Values from the calculation:
Formation energy (no corrections) ... -1.852 eV per atom
Space group ... Im-3m
Electronic total energy ... -6.11 eV/atom

abc: 7.2094 7.2094 7.2094
angles: 109.47 109.47 109.47
Closest atoms and distances in Å follow each position.
Element x y z (fractional)
Rb 0.0000 0.0000 0.5000  12 O 2.94
Rb 0.0000 0.5000 0.0000  12 O 2.94
Rb 0.5000 0.0000 0.0000  12 O 2.94
Rb 0.5000 0.5000 0.5000  12 O 2.94
Pa 0.0000 0.0000 0.0000  6 O 2.16
Sb 0.0000 0.5000 0.5000  6 O 2.00-2.08
Sb 0.5000 0.0000 0.5000  6 O 2.00-2.08
Sb 0.5000 0.5000 0.0000  6 O 2.00-2.08
O 0.0000 0.2600 0.2600  1 Sb 2.00, 1 Pa 2.16
O 0.0000 0.7400 0.7400  1 Sb 2.00, 1 Pa 2.16
O 0.2500 0.5000 0.7500  2 Sb 2.08
O 0.2500 0.7500 0.5000  2 Sb 2.08
O 0.2600 0.0000 0.2600  1 Sb 2.00, 1 Pa 2.16
O 0.2600 0.2600 0.0000  1 Sb 2.00, 1 Pa 2.16
O 0.5000 0.2500 0.7500  2 Sb 2.08
O 0.5000 0.7500 0.2500  2 Sb 2.08
O 0.7400 0.0000 0.7400  1 Sb 2.00, 1 Pa 2.16
O 0.7400 0.7400 0.0000  1 Sb 2.00, 1 Pa 2.16
O 0.7500 0.2500 0.5000  2 Sb 2.08
O 0.7500 0.5000 0.2500  2 Sb 2.08

***

Here is a relaxed Cs2Sm2SnS6 crystal from Alexandria. Energies are from PBE.

Values from the calculation:
Formation energy (no corrections) ... -1.417 eV per atom
Space group ... C2/m
Electronic total energy ... -5.05 eV/atom

abc: 6.9876 6.9876 8.6401
angles: 98.14 98.14 119.59
Closest atoms and distances in Å follow each position.
Element x y z (fractional)
Cs 0.1708 0.8292 0.0000  6 S 3.52-3.59
Cs 0.8292 0.1708 0.0000  6 S 3.52-3.59
Sm 0.3326 0.6674 0.5000  6 S 2.82-2.84
Sm 0.6674 0.3326 0.5000  6 S 2.82-2.84
Sn 0.0000 0.0000 0.5000  6 S 2.61-2.64
S 0.0626 0.3758 0.6787  1 Sn 2.64, 2 Sm 2.82-2.83
S 0.2469 0.2469 0.3242  1 Sn 2.61, 2 Sm 2.84
S 0.3758 0.0626 0.6787  1 Sn 2.64, 2 Sm 2.82-2.83
S 0.6242 0.9374 0.3213  1 Sn 2.64, 2 Sm 2.82-2.83
S 0.7531 0.7531 0.6758  1 Sn 2.61, 2 Sm 2.84
S 0.9374 0.6242 0.3213  1 Sn 2.64, 2 Sm 2.82-2.83

***

Here is a relaxed TbEr2Tl crystal from Alexandria. Energies are from PBE.

Values from the calculation:
E above lowest polymorph ... 0.172 eV/atom
Space group ... Fm-3m
Electronic total energy ... -4.03 eV/atom
Energy relative to the elements ... 0.0 eV per formula unit

abc: 7.6901 7.6901 7.6901
angles: 90.00 90.00 90.00
Closest atoms and distances in Å follow each position.
Element x y z (fractional)
Tb 0.0000 0.0000 0.0000  8 Er 3.33
Tb 0.0000 0.5000 0.5000  8 Er 3.33
Tb 0.5000 0.0000 0.5000  8 Er 3.33
Tb 0.5000 0.5000 0.0000  8 Er 3.33
Er 0.2500 0.2500 0.2500  4 Tl 3.33, 4 Tb 3.33
Er 0.2500 0.2500 0.7500  4 Tb 3.33, 4 Tl 3.33
Er 0.2500 0.7500 0.2500  4 Tb 3.33, 4 Tl 3.33
Er 0.2500 0.7500 0.7500  4 Tl 3.33, 4 Tb 3.33
Er 0.7500 0.2500 0.2500  4 Tb 3.33, 4 Tl 3.33
Er 0.7500 0.2500 0.7500  4 Tl 3.33, 4 Tb 3.33
Er 0.7500 0.7500 0.2500  4 Tl 3.33, 4 Tb 3.33
Er 0.7500 0.7500 0.7500  4 Tb 3.33, 4 Tl 3.33
Tl 0.0000 0.0000 0.5000  8 Er 3.33
Tl 0.0000 0.5000 0.0000  8 Er 3.33
Tl 0.5000 0.0000 0.0000  8 Er 3.33
Tl 0.5000 0.5000 0.5000  8 Er 3.33

***

Here is a relaxed TbInGa crystal from Alexandria. Energies are from PBE.

Values from the calculation:
E above lowest polymorph ... 0.033 eV/atom
Space group ... P4/nmm
Electronic total energy ... -3.91 eV/atom
Energy relative to the elements ... -1.3 eV per formula unit

abc: 4.2987 4.2987 7.7210
angles: 90.00 90.00 90.00
Closest atoms and distances in Å follow each position.
Element x y z (fractional)
Tb 0.2500 0.2500 0.1577  5 Ga 2.95-3.08
Tb 0.7500 0.7500 0.8423  5 Ga 2.95-3.08
In 0.2500 0.7500 0.5000  4 Ga 3.02, 4 In 3.04
In 0.7500 0.2500 0.5000  4 Ga 3.02, 4 In 3.04
Ga 0.2500 0.2500 0.7752  5 Tb 2.95-3.08, 4 In 3.02
Ga 0.7500 0.7500 0.2248  5 Tb 2.95-3.08, 4 In 3.02

***

Here is a relaxed SmSi6Rh12 crystal from Alexandria. Energies are from PBE.

Values from the calculation:
Formation energy (no corrections) ... -0.735 eV per atom
Space group ... R-3m
Electronic total energy ... -7.34 eV/atom

abc: 6.9574 6.9574 6.9574
angles: 105.56 105.56 105.56
Closest atoms and distances in Å follow each position.
Element x y z (fractional)
Sm 0.0000 0.0000 0.0000  6 Rh 3.31, 6 Si 3.62
Si 0.2473 0.2473 0.6871  7 Rh 2.34-2.47
Si 0.2473 0.6871 0.2473  7 Rh 2.34-2.47
Si 0.3129 0.7527 0.7527  7 Rh 2.34-2.47
Si 0.6871 0.2473 0.2473  7 Rh 2.34-2.47
Si 0.7527 0.3129 0.7527  7 Rh 2.34-2.47
Si 0.7527 0.7527 0.3129  7 Rh 2.34-2.47
Rh 0.1304 0.5000 0.8696  4 Si 2.34-2.39
Rh 0.1304 0.8696 0.5000  4 Si 2.34-2.39
Rh 0.1835 0.4359 0.4359  3 Si 2.41-2.47
Rh 0.4359 0.1835 0.4359  3 Si 2.41-2.47
Rh 0.4359 0.4359 0.1835  3 Si 2.41-2.47
Rh 0.5000 0.1304 0.8696  4 Si 2.34-2.39
Rh 0.5000 0.8696 0.1304  4 Si 2.34-2.39
Rh 0.5641 0.5641 0.8165  3 Si 2.41-2.47
Rh 0.5641 0.8165 0.5641  3 Si 2.41-2.47
Rh 0.8165 0.5641 0.5641  3 Si 2.41-2.47
Rh 0.8696 0.1304 0.5000  4 Si 2.34-2.39
Rh 0.8696 0.5000 0.1304  4 Si 2.34-2.39